Entry 1:
VASP calculation (PBE-GGA) on an optimized crystal structure of La5IrS4.

Results
Its total energy is -6.86 eV per atom. The mass density is 6.539 g/cm³.

a b c (Å): 4.184 4.184 15.021
angles (deg): 98.01 98.01 90.00
Fractional coordinates of all 10 atoms:
La: 0.098 0.098 0.195
La: 0.500 0.500 0.000
La: 0.902 0.902 0.805
La: 0.298 0.298 0.596
La: 0.702 0.702 0.404
Ir: 0.000 0.000 0.000
S: 0.398 0.398 0.796
S: 0.802 0.802 0.604
S: 0.198 0.198 0.396
S: 0.602 0.602 0.204

Entry 2:
VASP calculation (PBE-GGA) on an optimized crystal structure of LaIrS2.

Results
Its total energy is -6.05 eV per atom. The offset from the most stable computed form comes out at 361 meV per atom. The mass density is 5.644 g/cm³.

a b c (Å): 6.091 6.091 6.091
angles (deg): 48.51 48.51 48.51
Fractional coordinates of all 4 atoms:
S: 0.865 0.865 0.865
S: 0.135 0.135 0.135
Ir: 0.000 0.000 0.000
La: 0.500 0.500 0.500

Entry 3:
VASP calculation (PBE-GGA) on an optimized crystal structure of La4IrSeS2.

Results
Its total energy is -6.77 eV per atom. The mass density is 6.874 g/cm³.

a b c (Å): 4.178 7.343 7.429
angles (deg): 70.79 90.00 90.00
Fractional coordinates of all 8 atoms:
La: 0.000 0.742 0.765
La: 0.000 0.258 0.235
La: 0.500 0.757 0.240
La: 0.500 0.243 0.760
Ir: 0.500 0.500 0.000
Se: 0.000 0.500 0.500
S: 0.000 0.000 0.000
S: 0.500 0.000 0.500

Entry 4:
VASP calculation (PBE-GGA) on an optimized crystal structure of La6Ir2Se3S.

Results
Its total energy is -6.76 eV per atom. The mass density is 7.354 g/cm³.

a b c (Å): 4.213 8.758 9.683
angles (deg): 105.30 102.57 90.00
Fractional coordinates of all 12 atoms:
La: 0.333 0.893 0.666
La: 0.672 0.571 0.344
La: 0.667 0.107 0.334
La: 0.009 0.249 0.018
La: 0.991 0.751 0.982
La: 0.328 0.429 0.656
Ir: 0.834 0.668 0.668
Ir: 0.166 0.332 0.332
Se: 0.500 0.500 0.000
Se: 0.839 0.161 0.678
Se: 0.161 0.839 0.322
S: 0.500 0.000 0.000

Entry 5:
VASP calculation (PBE-GGA) on an optimized crystal structure of La4IrSe2S.

Results
Its total energy is -6.67 eV per atom. The mass density is 7.021 g/cm³.

a b c (Å): 4.202 7.523 7.425
angles (deg): 70.91 90.00 90.00
Fractional coordinates of all 8 atoms:
La: 0.000 0.727 0.766
La: 0.000 0.273 0.234
La: 0.500 0.736 0.253
La: 0.500 0.264 0.747
Ir: 0.500 0.500 0.000
Se: 0.000 0.000 0.000
Se: 0.500 0.000 0.500
S: 0.000 0.500 0.500

Entry 6:
VASP calculation (PBE-GGA) on an optimized crystal structure of La6Ir2SeS3.

Results
Its total energy is -6.90 eV per atom. The mass density is 7.162 g/cm³.

a b c (Å): 4.169 8.637 9.507
angles (deg): 104.40 102.67 90.00
Fractional coordinates of all 12 atoms:
La: 0.328 0.898 0.657
La: 0.671 0.577 0.341
La: 0.672 0.102 0.343
La: 0.007 0.262 0.013
La: 0.993 0.738 0.987
La: 0.329 0.423 0.659
Ir: 0.833 0.667 0.666
Ir: 0.167 0.333 0.334
Se: 0.500 0.000 0.000
S: 0.500 0.500 0.000
S: 0.840 0.161 0.680
S: 0.160 0.839 0.320

Entry 7:
VASP calculation (PBE-GGA) on an optimized crystal structure of La8IrSe4S3.

Results
Its total energy is -6.57 eV per atom. The mass density is 6.513 g/cm³.

a b c (Å): 8.489 8.552 8.489
angles (deg): 119.76 120.00 90.00
Fractional coordinates of all 16 atoms:
La: 0.242 0.734 0.992
La: 0.242 0.734 0.484
La: 0.255 0.264 0.510
La: 0.750 0.734 0.992
La: 0.250 0.266 0.008
La: 0.745 0.736 0.490
La: 0.758 0.266 0.516
La: 0.758 0.266 0.008
Ir: 0.000 0.500 0.000
Se: 0.500 0.000 0.000
Se: 0.500 0.000 0.500
Se: 0.000 0.000 0.000
Se: 0.000 0.000 0.500
S: 0.500 0.500 0.000
S: 0.500 0.500 0.500
S: 0.000 0.500 0.500

Entry 8:
VASP calculation (PBE-GGA) on an optimized crystal structure of LaTaIrS2.

Results
Its total energy is -5.48 eV per atom. The mass density is 7.008 g/cm³.

a b c (Å): 5.209 5.209 5.031
angles (deg): 90.00 90.00 90.00
Fractional coordinates of all 5 atoms:
S: 0.000 0.500 0.000
S: 0.500 0.000 0.000
Ir: 0.000 0.000 0.500
La: 0.000 0.000 0.000
Ta: 0.500 0.500 0.500

Entry 9:
VASP calculation (PBE-GGA) on an optimized crystal structure of La4TeIrS2.

Results
Its total energy is -6.59 eV per atom. The mass density is 6.896 g/cm³.

a b c (Å): 4.234 7.427 7.618
angles (deg): 70.81 90.00 90.00
Fractional coordinates of all 8 atoms:
La: 0.000 0.770 0.729
La: 0.000 0.230 0.271
La: 0.500 0.742 0.275
La: 0.500 0.258 0.725
Te: 0.500 0.500 0.000
Ir: 0.000 0.500 0.500
S: 0.000 0.000 0.000
S: 0.500 0.000 0.500

Entry 10:
VASP calculation (PBE-GGA) on an optimized crystal structure of LaTeIrS2.

Results
Its total energy is -4.34 eV per atom. The mass density is 5.707 g/cm³.

a b c (Å): 5.422 5.175 5.422
angles (deg): 90.00 90.00 90.00
Fractional coordinates of all 5 atoms:
S: 0.000 0.000 0.500
S: 0.500 0.000 0.000
Ir: 0.000 0.500 0.000
Te: 0.500 0.500 0.500
La: 0.000 0.000 0.000

Entry 11:
VASP calculation (PBE-GGA) on an optimized crystal structure of LaThIrS.

Results
Its total energy is -7.66 eV per atom. The mass density is 9.273 g/cm³.

a b c (Å): 4.069 4.069 7.794
angles (deg): 90.00 105.11 120.00
Fractional coordinates of all 4 atoms:
La: 0.485 0.141 0.641
Th: 0.119 0.957 0.092
Ir: 0.312 0.554 0.882
S: 0.961 0.379 0.355

Entry 12:
VASP calculation (PBE-GGA) on an optimized crystal structure of LaSb2Ir.

Results
Its total energy is -5.79 eV per atom. The mass density is 9.985 g/cm³.

a b c (Å): 5.745 5.745 5.745
angles (deg): 134.30 134.30 66.62
Fractional coordinates of all 4 atoms:
Ir: 0.500 0.500 0.000
La: 0.750 0.250 0.500
Sb: 0.000 0.000 0.000
Sb: 0.250 0.750 0.500

> total energy of number 7 (La8IrSe4S3)?

-6.57 eV per atom

> Look up the mass density of the tenth one.

5.707 g/cm³